No. 1
HfMn2Ga2 (PBE, optimized geometry); ΔE to the lowest computed polymorph = 40 meV per atom; size of the total moment = 0.9028 μB per atom; SG = P4/mbm, No. 127; ΔE_f = -0.10 eV/atom; calculated volume = 15.0 Å³ per atom; E = -6.973 eV/atom
1.0
-1.9997 2.2124 6.7301
0.0608 -6.9875 2.3151
2.6691 0.2579 0.7083
Mn Hf Ga
4 2 4
direct
0.3797 0.8797 0.0000 Mn
0.8797 0.6203 0.0000 Mn
0.6203 0.1203 0.0000 Mn
0.1203 0.3797 0.0000 Mn
0.0000 0.0000 0.0000 Hf
0.5000 0.5000 0.0000 Hf
0.1738 0.6738 0.5000 Ga
0.6738 0.8262 0.5000 Ga
0.8262 0.3262 0.5000 Ga
0.3262 0.1738 0.5000 Ga



No. 2
RbZn2HgPd (PBE, optimized geometry); size of the total moment = 0.0000 μB per atom; SG = P4/mmm, No. 123; ΔE_f = -0.17 eV/atom; calculated volume = 27.1 Å³ per atom; E = -1.977 eV/atom
1.0
-5.0003 -0.1442 -0.1560
-0.0354 -3.0586 3.9613
-0.2267 4.2848 3.3063
Zn Rb Hg Pd
2 1 1 1
direct
0.0000 0.5000 0.0000 Zn
0.5000 0.0000 0.0000 Zn
0.5000 0.5000 0.5000 Rb
0.0000 0.0000 0.5000 Hg
0.0000 0.0000 0.0000 Pd



No. 3
Nb4S (PBE, optimized geometry); formation energy without anion corrections = 0.14 eV/atom; ΔE to the lowest computed polymorph = 360 meV per atom; size of the total moment = 0.0000 μB per atom; SG = Pm-3m, No. 221; calculated volume = 19.2 Å³ per atom; E = -8.741 eV/atom
1.0
4.5787 0.0000 0.0000
0.0000 4.5787 0.0000
0.0000 0.0000 4.5787
S Nb
1 4
direct
0.5000 0.5000 0.5000 S
0.0000 0.0000 0.0000 Nb
0.5000 0.0000 0.5000 Nb
0.0000 0.5000 0.5000 Nb
0.5000 0.5000 0.0000 Nb



No. 4
GaCu (PBE, optimized geometry); size of the total moment = 0.0000 μB per atom; SG = I4/mmm, No. 139; ΔE_f = -0.01 eV/atom; calculated volume = 15.1 Å³ per atom; E = -3.576 eV/atom
1.0
-4.6457 1.6355 -5.9693
4.8002 -3.7595 -4.7659
-2.0408 -3.4284 0.6490
Ga Cu
8 8
direct
0.7847 0.5000 0.0000 Ga
0.2153 0.5000 0.0000 Ga
0.5000 0.2153 0.0000 Ga
0.5000 0.7847 0.0000 Ga
0.2847 0.0000 0.5000 Ga
0.7153 0.0000 0.5000 Ga
0.0000 0.7153 0.5000 Ga
0.0000 0.2847 0.5000 Ga
0.1685 0.1685 0.0000 Cu
0.1685 0.8315 0.0000 Cu
0.8315 0.1685 0.0000 Cu
0.8315 0.8315 0.0000 Cu
0.6685 0.6685 0.5000 Cu
0.6685 0.3315 0.5000 Cu
0.3315 0.6685 0.5000 Cu
0.3315 0.3315 0.5000 Cu



Among the records above, which one has the highest calculated volume? RbZn2HgPd



Which value of calculated volume does entry 4 give? 15.1 Å³ per atom